The following is a DFT calculation (PBE) of crystalline CdHgN2O at its relaxed geometry.

Raw formation energy in eV per atom: 1.65
Total moment in μB/atom: 0.6274
Theoretical density in Mg/m³: 7.41
Calculated volume in Å³/atom: 16.0

abc: 4.3276 4.3276 4.2731
angles: 90.00 90.00 90.00
With the nearest neighbours (Å) after each atom.
Space group P4/mmm (No. 123)
Symmetry-distinct sites (fractional):
Cd (0.0000, 0.0000, 0.0000) x1  2 O 2.14, 4 N 2.16
Hg (0.5000, 0.5000, 0.5000) x1  8 N 3.04, 4 O 3.06
N (0.0000, 0.5000, 0.0000) x2  2 Cd 2.16
O (0.0000, 0.0000, 0.5000) x1  2 Cd 2.14